one.
The following is a DFT calculation (PBE) of a relaxed structure of LaYO.

Cell lengths 6.2680, 3.6214, 12.3744 Å; angles 90.00, 99.81, 90.00 degrees
Positions (direct):
La 0.1176 0.0000 0.3572
La 0.3824 0.5000 0.6428
La 0.6176 0.5000 0.3572
La 0.8824 0.0000 0.6428
Y 0.1260 0.5000 0.8711
Y 0.3740 0.0000 0.1289
Y 0.6260 0.0000 0.8711
Y 0.8740 0.5000 0.1289
O 0.2362 0.5000 0.2151
O 0.2638 0.0000 0.7849
O 0.7362 0.0000 0.2151
O 0.7638 0.5000 0.7849

Summary:
ρ ... 5851 kg/m3

two.
The following is a DFT calculation (PBE) of a relaxed structure of LaYO.

Cell lengths 3.6228, 3.6228, 6.1478 Å; angles 90.00, 90.00, 120.00 degrees
Positions (direct):
La 0.0000 0.0000 0.0000
Y 0.3333 0.6667 0.4540
O 0.6667 0.3333 0.2651

Summary:
ρ ... 5794 kg/m3

Which structure wins on stability? one wins.

one.
The following is a DFT calculation (PBE) of a relaxed structure of LaY2O2.

Cell lengths 9.0951, 9.0951, 3.0136 Å; angles 90.00, 90.00, 90.00 degrees
Positions (direct):
La 0.0000 0.0000 0.0000
La 0.5000 0.5000 0.0000
Y 0.1092 0.3908 0.0000
Y 0.3908 0.8908 0.0000
Y 0.6092 0.1092 0.0000
Y 0.8908 0.6092 0.0000
O 0.0921 0.5921 0.5000
O 0.4079 0.0921 0.5000
O 0.5921 0.9079 0.5000
O 0.9079 0.4079 0.5000

Summary:
ρ ... 4646 kg/m3

two.
The following is a DFT calculation (PBE) of a relaxed structure of LaY2O2.

Cell lengths 3.9146, 3.9146, 16.9359 Å; angles 90.00, 90.00, 90.00 degrees
Positions (direct):
La 0.0000 0.0000 0.0000
La 0.5000 0.5000 0.5000
Y 0.0000 0.0000 0.3144
Y 0.0000 0.0000 0.6856
Y 0.5000 0.5000 0.1856
Y 0.5000 0.5000 0.8144
O 0.0000 0.5000 0.2500
O 0.0000 0.5000 0.7500
O 0.5000 0.0000 0.2500
O 0.5000 0.0000 0.7500

Summary:
ρ ... 4462 kg/m3

Which structure wins on stability? two wins.

one.
The following is a DFT calculation (PBE) of a relaxed structure of LaZr3O.

Cell lengths 4.6844, 4.6844, 4.6844 Å; angles 90.00, 90.00, 90.00 degrees
Positions (direct):
La 0.0000 0.0000 0.0000
Zr 0.0000 0.5000 0.5000
Zr 0.5000 0.0000 0.5000
Zr 0.5000 0.5000 0.0000
O 0.5000 0.5000 0.5000

Summary:
ρ ... 6923 kg/m3

two.
The following is a DFT calculation (PBE) of a relaxed structure of LaZr3O.

Cell lengths 5.1215, 5.1215, 5.1215 Å; angles 90.00, 90.00, 90.00 degrees
Positions (direct):
La 0.0000 0.0000 0.0000
Zr 0.0000 0.0000 0.5000
Zr 0.0000 0.5000 0.0000
Zr 0.5000 0.0000 0.0000
O 0.5000 0.5000 0.5000

Summary:
ρ ... 5298 kg/m3

Which structure wins on stability? one wins.

one.
The following is a DFT calculation (PBE) of a relaxed structure of La3ZrO.

Cell lengths 5.6255, 5.6255, 5.6255 Å; angles 90.00, 90.00, 90.00 degrees
Positions (direct):
La 0.0000 0.0000 0.5000
La 0.0000 0.5000 0.0000
La 0.5000 0.0000 0.0000
Zr 0.0000 0.0000 0.0000
O 0.5000 0.5000 0.5000

Summary:
ρ ... 4887 kg/m3

two.
The following is a DFT calculation (PBE) of a relaxed structure of La3ZrO.

Cell lengths 5.0895, 5.0895, 5.0895 Å; angles 90.00, 90.00, 90.00 degrees
Positions (direct):
La 0.0000 0.0000 0.5000
La 0.0000 0.5000 0.0000
La 0.5000 0.0000 0.0000
Zr 0.5000 0.5000 0.5000
O 0.0000 0.0000 0.0000

Summary:
ρ ... 6599 kg/m3

Which structure wins on stability? two wins.

one.
The following is a DFT calculation (PBE) of a relaxed structure of La3Os2.

Cell lengths 4.9353, 4.9353, 6.2856 Å; angles 90.00, 90.00, 120.00 degrees
Positions (direct):
La 0.0000 0.0000 0.0000
La 0.3333 0.6667 0.3385
La 0.6667 0.3333 0.6615
Os 0.3333 0.6667 0.8161
Os 0.6667 0.3333 0.1839

Summary:
ρ ... 9984 kg/m3

two.
The following is a DFT calculation (PBE) of a relaxed structure of La3Os2.

Cell lengths 4.3653, 4.3653, 26.7898 Å; angles 90.00, 90.00, 120.00 degrees
Positions (direct):
La 0.0000 0.0000 0.0000
La 0.0000 0.0000 0.2260
La 0.0000 0.0000 0.7740
La 0.3333 0.6667 0.4406
La 0.3333 0.6667 0.6667
La 0.3333 0.6667 0.8927
La 0.6667 0.3333 0.1073
La 0.6667 0.3333 0.3333
La 0.6667 0.3333 0.5594
Os 0.0000 0.0000 0.3991
Os 0.0000 0.0000 0.6009
Os 0.3333 0.6667 0.0658
Os 0.3333 0.6667 0.2676
Os 0.6667 0.3333 0.7324
Os 0.6667 0.3333 0.9342

Summary:
ρ ... 8983 kg/m3

three.
The following is a DFT calculation (PBE) of a relaxed structure of La3Os2.

Cell lengths 9.2778, 8.1716, 6.0750 Å; angles 79.79, 60.09, 40.12 degrees
Positions (direct):
La 0.0166 0.0166 0.2334
La 0.2334 0.2334 0.0166
La 0.3750 0.3750 0.3750
La 0.6250 0.6250 0.6250
La 0.7666 0.7666 0.9834
La 0.9834 0.9834 0.7666
Os 0.1572 0.1572 0.5928
Os 0.4072 0.4072 0.8428
Os 0.5928 0.5928 0.1572
Os 0.8428 0.8428 0.4072

Summary:
ρ ... 11054 kg/m3

Which structure wins on stability? one wins.

one.
The following is a DFT calculation (PBE) of a relaxed structure of La4Os.

Cell lengths 5.6939, 5.6939, 5.6939 Å; angles 90.00, 90.00, 90.00 degrees
Positions (direct):
La 0.0000 0.0000 0.0000
La 0.0000 0.5000 0.5000
La 0.5000 0.0000 0.5000
La 0.5000 0.5000 0.0000
Os 0.5000 0.5000 0.5000

Summary:
ρ ... 6709 kg/m3

two.
The following is a DFT calculation (PBE) of a relaxed structure of La4Os.

Cell lengths 8.0357, 8.0357, 8.0357 Å; angles 60.00, 60.00, 60.00 degrees
Positions (direct):
La 0.2198 0.7601 0.7601
La 0.2399 0.2399 0.2399
La 0.2399 0.2399 0.7802
La 0.2399 0.7802 0.2399
La 0.7601 0.2198 0.7601
La 0.7601 0.7601 0.2198
La 0.7601 0.7601 0.7601
La 0.7802 0.2399 0.2399
Os 0.3750 0.3750 0.3750
Os 0.6250 0.6250 0.6250

Summary:
ρ ... 6751 kg/m3

three.
The following is a DFT calculation (PBE) of a relaxed structure of La4Os.

Cell lengths 6.9425, 6.9425, 6.9425 Å; angles 90.00, 90.00, 90.00 degrees
Positions (direct):
La 0.2500 0.2500 0.2500
La 0.2500 0.2500 0.7500
La 0.2500 0.7500 0.2500
La 0.2500 0.7500 0.7500
La 0.7500 0.2500 0.2500
La 0.7500 0.2500 0.7500
La 0.7500 0.7500 0.2500
La 0.7500 0.7500 0.7500
Os 0.0000 0.0000 0.0000
Os 0.5000 0.5000 0.5000

Summary:
ρ ... 7403 kg/m3

four.
The following is a DFT calculation (PBE) of a relaxed structure of La4Os.

Cell lengths 9.3421, 9.3421, 3.6771 Å; angles 90.00, 90.00, 90.00 degrees
Positions (direct):
La 0.0719 0.2510 0.0000
La 0.2490 0.5719 0.5000
La 0.2510 0.9281 0.0000
La 0.4281 0.2490 0.5000
La 0.5719 0.7510 0.5000
La 0.7490 0.0719 0.0000
La 0.7510 0.4281 0.5000
La 0.9281 0.7490 0.0000
Os 0.0000 0.0000 0.5000
Os 0.5000 0.5000 0.0000

Summary:
ρ ... 7719 kg/m3

Which structure wins on stability? four wins.